# 1
The following is a PBE-GGA calculation of an optimized crystal structure of ZrPOs4, from Alexandria via LeMat-Bulk.

Values from the calculation:
**Space-group type**: F-43m
**ΔH_f (0 K)**: 0.418 eV/atom

a = 5.205 Å, b = 5.205 Å, c = 5.205 Å
α = 60.00°, β = 60.00°, γ = 60.00°
Positions (direct):
Zr 0.000 0.000 0.000
P 0.250 0.250 0.250
Os 0.126 0.625 0.625
Os 0.625 0.126 0.625
Os 0.625 0.625 0.126
Os 0.625 0.625 0.625



# 2
The following is a PBE-GGA calculation of an optimized crystal structure of YSbN2F, from Alexandria via LeMat-Bulk.

Values from the calculation:
**Space-group type**: P4/mmm
**Formation energy from raw total energies**: -0.45 eV per atom
**E above lowest polymorph**: 0.000 eV per atom

a = 4.223 Å, b = 4.223 Å, c = 4.129 Å
α = 90.00°, β = 90.00°, γ = 90.00°
Positions (direct):
Y 0.000 0.000 0.000
Sb 0.500 0.500 0.500
N 0.000 0.500 0.500
N 0.500 0.000 0.500
F 0.500 0.500 0.000



# 3
The following is a PBE-GGA calculation of an optimized crystal structure of K2MgPO, from Alexandria via LeMat-Bulk.

Values from the calculation:
**Space-group type**: P4/mmm
**Formation energy from raw total energies**: -0.44 eV per atom

a = 6.290 Å, b = 6.290 Å, c = 3.583 Å
α = 90.00°, β = 90.00°, γ = 90.00°
Positions (direct):
K 0.000 0.500 0.000
K 0.500 0.000 0.000
Mg 0.000 0.000 0.000
P 0.500 0.500 0.500
O 0.000 0.000 0.500



# 4
The following is a PBE-GGA calculation of an optimized crystal structure of Ho2Re3Si5, from Alexandria via LeMat-Bulk.

Values from the calculation:
**Space-group type**: P4/mnc
**Formation energy from raw total energies**: -0.59 eV per atom

a = 10.985 Å, b = 10.985 Å, c = 5.500 Å
α = 90.00°, β = 90.00°, γ = 90.00°
Positions (direct):
Ho 0.078 0.237 0.000
Ho 0.237 0.922 0.000
Ho 0.263 0.422 0.500
Ho 0.422 0.737 0.500
Ho 0.578 0.263 0.500
Ho 0.737 0.578 0.500
Ho 0.763 0.078 0.000
Ho 0.922 0.763 0.000
Re 0.000 0.500 0.250
Re 0.000 0.500 0.750
Re 0.123 0.853 0.500
Re 0.147 0.123 0.500
Re 0.353 0.623 0.000
Re 0.377 0.353 0.000
Re 0.500 0.000 0.250
Re 0.500 0.000 0.750
Re 0.623 0.647 0.000
Re 0.647 0.377 0.000
Re 0.853 0.877 0.500
Re 0.877 0.147 0.500
Si 0.000 0.000 0.240
Si 0.000 0.000 0.760
Si 0.029 0.314 0.500
Si 0.172 0.672 0.250
Si 0.172 0.672 0.750
Si 0.186 0.471 0.000
Si 0.314 0.971 0.500
Si 0.328 0.172 0.250
Si 0.328 0.172 0.750
Si 0.471 0.814 0.000
Si 0.500 0.500 0.260
Si 0.500 0.500 0.740
Si 0.529 0.186 0.000
Si 0.672 0.828 0.250
Si 0.672 0.828 0.750
Si 0.686 0.029 0.500
Si 0.814 0.529 0.000
Si 0.828 0.328 0.250
Si 0.828 0.328 0.750
Si 0.971 0.686 0.500



# 5
The following is a PBE-GGA calculation of an optimized crystal structure of CsKNa2Cu, from Alexandria via LeMat-Bulk.

Values from the calculation:
**Space-group type**: P4/mmm
**ΔH_f (0 K)**: 0.216 eV/atom

a = 6.056 Å, b = 6.056 Å, c = 6.425 Å
α = 90.00°, β = 90.00°, γ = 90.00°
Positions (direct):
Cs 0.000 0.000 0.000
K 0.500 0.500 0.000
Na 0.000 0.500 0.500
Na 0.500 0.000 0.500
Cu 0.500 0.500 0.500



# 6
The following is a PBE-GGA calculation of an optimized crystal structure of Rb2Ge2As, from Alexandria via LeMat-Bulk.

Values from the calculation:
**Space-group type**: P4/mbm
**ΔH_f (0 K)**: 0.000 eV/atom
**E above lowest polymorph**: 0.061 eV per atom

a = 7.287 Å, b = 7.287 Å, c = 5.727 Å
α = 90.00°, β = 90.00°, γ = 90.00°
Positions (direct):
Rb 0.198 0.302 0.000
Rb 0.302 0.802 0.000
Rb 0.698 0.198 0.000
Rb 0.802 0.698 0.000
Ge 0.117 0.617 0.500
Ge 0.383 0.117 0.500
Ge 0.617 0.883 0.500
Ge 0.883 0.383 0.500
As 0.000 0.000 0.500
As 0.500 0.500 0.500



# 7
The following is a PBE-GGA calculation of an optimized crystal structure of YAl11, from Alexandria via LeMat-Bulk.

Values from the calculation:
**Space-group type**: I4_1/amd
**ΔH_f (0 K)**: -0.051 eV/atom

a = 8.565 Å, b = 8.565 Å, c = 8.565 Å
α = 100.22°, β = 100.22°, γ = 130.18°
Positions (direct):
Y 0.375 0.625 0.750
Y 0.625 0.375 0.250
Al 0.000 0.000 0.000
Al 0.000 0.000 0.500
Al 0.000 0.500 0.000
Al 0.125 0.875 0.250
Al 0.134 0.557 0.335
Al 0.134 0.799 0.577
Al 0.201 0.278 0.335
Al 0.201 0.866 0.923
Al 0.278 0.201 0.835
Al 0.278 0.443 0.077
Al 0.443 0.278 0.577
Al 0.443 0.866 0.165
Al 0.500 0.000 0.500
Al 0.557 0.134 0.835
Al 0.557 0.722 0.423
Al 0.722 0.557 0.923
Al 0.722 0.799 0.165
Al 0.799 0.134 0.077
Al 0.799 0.722 0.665
Al 0.866 0.201 0.423
Al 0.866 0.443 0.665
Al 0.875 0.125 0.750



# 8
The following is a PBE-GGA calculation of an optimized crystal structure of Al8BC5, from Alexandria via LeMat-Bulk.

Values from the calculation:
**Space-group type**: R-3m
**ΔH_f (0 K)**: -0.041 eV/atom

a = 17.091 Å, b = 17.091 Å, c = 17.091 Å
α = 11.34°, β = 11.34°, γ = 11.34°
Positions (direct):
Al 0.064 0.064 0.064
Al 0.145 0.145 0.145
Al 0.353 0.353 0.353
Al 0.434 0.434 0.434
Al 0.566 0.566 0.566
Al 0.647 0.647 0.647
Al 0.855 0.855 0.855
Al 0.936 0.936 0.936
B 0.500 0.500 0.500
C 0.000 0.000 0.000
C 0.106 0.106 0.106
C 0.391 0.391 0.391
C 0.609 0.609 0.609
C 0.894 0.894 0.894



# 9
The following is a PBE-GGA calculation of an optimized crystal structure of CdI2O, from Alexandria via LeMat-Bulk.

Values from the calculation:
**Space-group type**: I-42d
**Formation energy from raw total energies**: 0.22 eV per atom
**E above lowest polymorph**: 0.000 eV per atom

a = 6.193 Å, b = 6.193 Å, c = 14.227 Å
α = 90.00°, β = 90.00°, γ = 90.00°
Positions (direct):
Cd 0.000 0.000 0.000
Cd 0.000 0.500 0.250
Cd 0.500 0.000 0.750
Cd 0.500 0.500 0.500
I 0.233 0.250 0.625
I 0.250 0.733 0.875
I 0.250 0.767 0.375
I 0.267 0.250 0.125
I 0.733 0.750 0.125
I 0.750 0.233 0.375
I 0.750 0.267 0.875
I 0.767 0.750 0.625
O 0.000 0.000 0.500
O 0.000 0.500 0.750
O 0.500 0.000 0.250
O 0.500 0.500 0.000



# 10
The following is a PBE-GGA calculation of an optimized crystal structure of LiB2PbF8, from Alexandria via LeMat-Bulk.

Values from the calculation:
**Space-group type**: P-3m1
**Formation energy from raw total energies**: -2.62 eV per atom

a = 5.114 Å, b = 5.114 Å, c = 7.969 Å
α = 90.00°, β = 90.00°, γ = 120.00°
Positions (direct):
Li 0.000 0.000 0.000
B 0.333 0.667 0.786
B 0.667 0.333 0.214
Pb 0.000 0.000 0.500
F 0.182 0.364 0.842
F 0.182 0.818 0.842
F 0.333 0.667 0.606
F 0.364 0.182 0.158
F 0.636 0.818 0.842
F 0.667 0.333 0.394
F 0.818 0.182 0.158
F 0.818 0.636 0.158



# 11
The following is a PBE-GGA calculation of an optimized crystal structure of TlCd4In2, from Alexandria via LeMat-Bulk.

Values from the calculation:
**Space-group type**: R-3m
**ΔH_f (0 K)**: 0.063 eV/atom
**E above lowest polymorph**: 0.000 eV per atom

a = 20.099 Å, b = 20.099 Å, c = 20.099 Å
α = 9.23°, β = 9.23°, γ = 9.23°
Positions (direct):
Tl 0.000 0.000 0.000
Cd 0.145 0.145 0.145
Cd 0.284 0.284 0.284
Cd 0.716 0.716 0.716
Cd 0.855 0.855 0.855
In 0.233 0.233 0.233
In 0.767 0.767 0.767



# 12
The following is a PBE-GGA calculation of an optimized crystal structure of KTl2Cd, from Alexandria via LeMat-Bulk.

Values from the calculation:
**Space-group type**: Pm
**ΔH_f (0 K)**: -0.044 eV/atom

a = 3.578 Å, b = 5.168 Å, c = 7.223 Å
α = 90.00°, β = 103.40°, γ = 90.00°
Positions (direct):
K 0.000 0.000 0.000
Tl 0.240 0.000 0.512
Tl 0.647 0.500 0.299
Cd 0.383 0.500 0.744



# 13
The following is a PBE-GGA calculation of an optimized crystal structure of NaPuGePb, from Alexandria via LeMat-Bulk.

Values from the calculation:
**Space-group type**: F-43m
**ΔH_f (0 K)**: -0.072 eV/atom

a = 7.410 Å, b = 7.410 Å, c = 7.410 Å
α = 90.00°, β = 90.00°, γ = 90.00°
Positions (direct):
Na 0.000 0.000 0.000
Na 0.000 0.500 0.500
Na 0.500 0.000 0.500
Na 0.500 0.500 0.000
Pu 0.000 0.000 0.500
Pu 0.000 0.500 0.000
Pu 0.500 0.000 0.000
Pu 0.500 0.500 0.500
Ge 0.250 0.250 0.750
Ge 0.250 0.750 0.250
Ge 0.750 0.250 0.250
Ge 0.750 0.750 0.750
Pb 0.250 0.250 0.250
Pb 0.250 0.750 0.750
Pb 0.750 0.250 0.750
Pb 0.750 0.750 0.250



# 14
The following is a PBE-GGA calculation of an optimized crystal structure of PmH3Ir, from Alexandria via LeMat-Bulk.

Values from the calculation:
**Space-group type**: Cm
**E above lowest polymorph**: 0.000 eV per atom

a = 6.157 Å, b = 6.157 Å, c = 4.793 Å
α = 91.69°, β = 91.69°, γ = 37.40°
Positions (direct):
Pm 0.000 0.000 0.000
Pm 0.738 0.738 0.507
H 0.179 0.179 0.254
H 0.182 0.182 0.759
H 0.431 0.431 0.158
H 0.556 0.556 0.748
H 0.784 0.784 0.010
H 0.949 0.949 0.506
Ir 0.283 0.283 0.013
Ir 0.445 0.445 0.514



# 15
The following is a PBE-GGA calculation of an optimized crystal structure of Ce2PdRh, from Alexandria via LeMat-Bulk.

Values from the calculation:
**Space-group type**: R-3m
**ΔH_f (0 K)**: -0.199 eV/atom

a = 3.078 Å, b = 3.078 Å, c = 29.927 Å
α = 90.00°, β = 90.00°, γ = 120.00°
Positions (direct):
Ce 0.000 0.000 0.089
Ce 0.000 0.000 0.911
Ce 0.333 0.667 0.578
Ce 0.333 0.667 0.756
Ce 0.667 0.333 0.244
Ce 0.667 0.333 0.422
Pd 0.000 0.000 0.000
Pd 0.333 0.667 0.667
Pd 0.667 0.333 0.333
Rh 0.000 0.000 0.500
Rh 0.333 0.667 0.167
Rh 0.667 0.333 0.833



# 16
The following is a PBE-GGA calculation of an optimized crystal structure of Sr2Ca5Mg5, from Alexandria via LeMat-Bulk.

Values from the calculation:
**Space-group type**: Pmmm
**ΔH_f (0 K)**: 0.061 eV/atom

a = 5.737 Å, b = 6.580 Å, c = 12.016 Å
α = 90.00°, β = 90.00°, γ = 90.00°
Positions (direct):
Sr 0.000 0.000 0.000
Sr 0.000 0.500 0.500
Ca 0.000 0.000 0.320
Ca 0.000 0.000 0.680
Ca 0.000 0.500 0.165
Ca 0.000 0.500 0.835
Ca 0.500 0.000 0.500
Mg 0.500 0.250 0.235
Mg 0.500 0.250 0.765
Mg 0.500 0.500 0.000
Mg 0.500 0.750 0.235
Mg 0.500 0.750 0.765



# 17
The following is a PBE-GGA calculation of an optimized crystal structure of InReSe4, from Alexandria via LeMat-Bulk.

Values from the calculation:
**Space-group type**: F-43m
**Formation energy from raw total energies**: 1.16 eV per atom

a = 5.809 Å, b = 5.809 Å, c = 5.809 Å
α = 60.00°, β = 60.00°, γ = 60.00°
Positions (direct):
In 0.000 0.000 0.000
Re 0.750 0.750 0.750
Se 0.376 0.376 0.376
Se 0.376 0.376 0.871
Se 0.376 0.871 0.376
Se 0.871 0.376 0.376



# 18
The following is a PBE-GGA calculation of an optimized crystal structure of ZrCoN2, from Alexandria via LeMat-Bulk.

Values from the calculation:
**Space-group type**: Pnma
**Formation energy from raw total energies**: -0.63 eV per atom

a = 6.049 Å, b = 4.424 Å, c = 7.062 Å
α = 90.00°, β = 90.00°, γ = 90.00°
Positions (direct):
Zr 0.125 0.250 0.122
Zr 0.375 0.750 0.622
Zr 0.625 0.250 0.378
Zr 0.875 0.750 0.878
Co 0.062 0.250 0.655
Co 0.438 0.750 0.155
Co 0.562 0.250 0.845
Co 0.938 0.750 0.345
N 0.026 0.750 0.610
N 0.111 0.750 0.111
N 0.389 0.250 0.611
N 0.474 0.250 0.110
N 0.526 0.750 0.890
N 0.611 0.750 0.389
N 0.889 0.250 0.889
N 0.974 0.250 0.390



# 19
The following is a PBE-GGA calculation of an optimized crystal structure of ScAgRu2, from Alexandria via LeMat-Bulk.

Values from the calculation:
**Space-group type**: P4mm
**ΔH_f (0 K)**: 0.027 eV/atom
**E above lowest polymorph**: 0.000 eV per atom

a = 2.908 Å, b = 2.908 Å, c = 7.824 Å
α = 90.00°, β = 90.00°, γ = 90.00°
Positions (direct):
Sc 0.000 0.000 0.000
Ag 0.500 0.500 0.284
Ru 0.000 0.000 0.546
Ru 0.500 0.500 0.751



# 20
The following is a PBE-GGA calculation of an optimized crystal structure of SrGa2Ni, from Alexandria via LeMat-Bulk.

Values from the calculation:
**Space-group type**: Pmmn
**ΔH_f (0 K)**: -0.415 eV/atom

a = 4.121 Å, b = 6.818 Å, c = 6.110 Å
α = 90.00°, β = 90.00°, γ = 90.00°
Positions (direct):
Sr 0.250 0.250 0.110
Sr 0.750 0.750 0.890
Ga 0.250 0.048 0.627
Ga 0.250 0.452 0.627
Ga 0.750 0.548 0.373
Ga 0.750 0.952 0.373
Ni 0.250 0.750 0.387
Ni 0.750 0.250 0.613



Number 1: volume 16.62 Å³/atom. Number 2: volume 14.73 Å³/atom. Number 3: volume 28.35 Å³/atom. Number 4: volume 16.59 Å³/atom. Number 5: volume 47.13 Å³/atom. Number 6: volume 30.41 Å³/atom. Number 7: volume 18.14 Å³/atom. Number 8: volume 11.99 Å³/atom. Number 9: volume 34.10 Å³/atom. Number 10: volume 15.04 Å³/atom. Number 11: volume 25.91 Å³/atom. Number 12: volume 32.48 Å³/atom. Number 13: volume 25.43 Å³/atom. Number 14: volume 11.03 Å³/atom. Number 15: volume 20.46 Å³/atom. Number 16: volume 37.80 Å³/atom. Number 17: volume 23.10 Å³/atom. Number 18: volume 11.81 Å³/atom. Number 19: volume 16.54 Å³/atom. Number 20: volume 21.46 Å³/atom.